1.
Here is crystalline La3TiSn at its relaxed geometry from Alexandria. Energies are from PBEsol.

POSCAR file:
```
La3TiSn
1.0
5.321 0.000 0.000
0.000 5.321 0.000
0.000 0.000 5.321
La Ti Sn
3 1 1
Direct
0.000 0.000 0.500
0.000 0.500 0.000
0.500 0.000 0.000
0.000 0.000 0.000
0.500 0.500 0.500
```

Values from the calculation:
**Crystal system**: cubic
**Uncorrected energy**: -5.592 eV/atom
**E_form**: 132 meV/atom

2.
Here is crystalline YCoPb at its relaxed geometry from Alexandria. Energies are from PBEsol.

POSCAR file:
```
YCoPb
1.0
4.510 0.000 0.000
-2.255 3.906 0.000
0.000 0.000 3.517
Y Co Pb
1 1 1
Direct
0.000 0.000 0.000
0.333 0.667 0.500
0.667 0.333 0.500
```

Values from the calculation:
**Crystal system**: hexagonal
**Uncorrected energy**: -6.355 eV/atom
**E_form**: -169 meV/atom

3.
Here is crystalline ZrIr3S at its relaxed geometry from Alexandria. Energies are from PBEsol.

POSCAR file:
```
ZrIr3S
1.0
4.786 0.000 0.000
0.000 4.786 0.000
0.000 0.000 4.786
Zr Ir S
1 3 1
Direct
0.000 0.000 0.000
0.000 0.000 0.500
0.000 0.500 0.000
0.500 0.000 0.000
0.500 0.500 0.500
```

Values from the calculation:
**Raw formation energy**: 2.141 eV per atom
**Crystal system**: cubic
**Uncorrected energy**: -6.448 eV/atom

4.
Here is crystalline BaCaIr2 at its relaxed geometry from Alexandria. Energies are from PBEsol.

POSCAR file:
```
BaCaIr2
1.0
4.505 0.000 0.000
0.000 2.330 5.223
0.000 -2.330 5.223
Ba Ca Ir
1 1 2
Direct
0.000 0.000 0.000
0.500 0.288 0.288
0.000 0.698 0.698
0.500 0.622 0.622
```

Values from the calculation:
**E above lowest polymorph**: 51 meV per atom
**Crystal system**: orthorhombic
**Uncorrected energy**: -6.113 eV/atom
**E_form**: -131 meV/atom

5.
Here is crystalline MgCd2Cu2 at its relaxed geometry from Alexandria. Energies are from PBEsol.

POSCAR file:
```
MgCd2Cu2
1.0
-1.974 1.974 5.886
1.974 -1.974 5.886
1.974 1.974 -5.886
Mg Cd Cu
1 2 2
Direct
0.000 0.000 0.000
0.250 0.750 0.500
0.750 0.250 0.500
0.403 0.403 0.000
0.597 0.597 0.000
```

Values from the calculation:
**E above lowest polymorph**: 170 meV per atom
**Crystal system**: tetragonal
**Uncorrected energy**: -2.401 eV/atom
**E_form**: 155 meV/atom

6.
Here is crystalline Hf2NiIBr at its relaxed geometry from Alexandria. Energies are from PBEsol.

POSCAR file:
```
Hf2NiIBr
1.0
5.268 0.000 0.000
0.000 5.268 0.000
0.000 0.000 4.421
Hf Ni I Br
2 1 1 1
Direct
0.000 0.500 0.000
0.500 0.000 0.000
0.000 0.000 0.500
0.000 0.000 0.000
0.500 0.500 0.500
```

Values from the calculation:
**Raw formation energy**: 1.130 eV per atom
**Crystal system**: tetragonal
**Uncorrected energy**: -5.030 eV/atom

7.
Here is crystalline ReAg at its relaxed geometry from Alexandria. Energies are from PBEsol.

POSCAR file:
```
ReAg
1.0
0.000 3.137 3.137
3.137 0.000 3.137
3.137 3.137 0.000
Re Ag
2 2
Direct
0.125 0.125 0.125
0.875 0.875 0.875
0.375 0.375 0.375
0.625 0.625 0.625
```

Values from the calculation:
**E above lowest polymorph**: 98 meV per atom
**Crystal system**: cubic
**Uncorrected energy**: -7.539 eV/atom
**E_form**: 782 meV/atom

8.
Here is crystalline MnCd8 at its relaxed geometry from Alexandria. Energies are from PBEsol.

POSCAR file:
```
MnCd8
1.0
-4.526 4.526 2.162
4.526 -4.526 2.162
4.526 4.526 -2.162
Mn Cd
1 8
Direct
0.000 0.000 0.000
0.000 0.328 0.328
0.000 0.672 0.672
0.328 0.000 0.328
0.337 0.337 0.675
0.337 0.663 0.000
0.663 0.337 0.000
0.663 0.663 0.325
0.672 0.000 0.672
```

Values from the calculation:
**Crystal system**: tetragonal
**Uncorrected energy**: -2.042 eV/atom
**E_form**: 107 meV/atom